Sc5As: optimized geometry, GGA-PBEsol.

DOS at the Fermi energy	8.436	states/eV/f.u.
ρ	3.98	g/cm3
calculated formation energy	-7.43	kcal/mol of atoms
energy	-6.68	eV/atom

Structure (POSCAR):
```
Sc5As
1.0
5.4864 0.0000 0.0000
-2.7432 4.7514 0.0000
0.0000 0.0000 4.8019
Sc As
5 1
Direct
0.0000 0.6916 0.0000 Sc
0.3084 0.3084 0.0000 Sc
0.3333 0.6667 0.5000 Sc
0.6667 0.3333 0.5000 Sc
0.6916 0.0000 0.0000 Sc
0.0000 0.0000 0.5000 As
```